# Dy2ScMn

A geometry-optimized Dy2ScMn structure (GGA-PBE, the Alexandria database).

Output
**Energy of formation from the pure elements**: 0.251 eV per atom
**E_tot**: -5.925 eV/atom
**Relative energy among the computed polymorphs**: 0.118 eV per atom
**DOS(E_F)**: 4.2 states/eV/cell

Unit cell a=3.383 b=3.383 c=10.396 alpha=80.64 beta=80.64 gamma=60.00
Last column: magnetic moment on the atom in μB.
Element x y z (fractional)
Mn 0.000 0.000 0.000  3.53
Sc 0.500 0.500 0.500  0.20
Dy 0.742 0.742 0.773  -0.13
Dy 0.258 0.258 0.227  -0.13